# 1
Sr2LiI2 | PBE-GGA | optimized geometry

Unit cell a=9.7292 b=9.7292 c=4.1212 alpha=90.00 beta=90.00 gamma=90.00
Closest atoms and distances in Å follow each position.
Fractional positions:
Sr 0.1631 0.3369 0.0000  6 I 3.46-3.56, 2 Li 3.64
Sr 0.3369 0.8369 0.0000  6 I 3.46-3.56, 2 Li 3.64
Sr 0.6631 0.1631 0.0000  6 I 3.46-3.56, 2 Li 3.64
Sr 0.8369 0.6631 0.0000  6 I 3.46-3.56, 2 Li 3.64
Li 0.0000 0.0000 0.0000  4 Sr 3.64
Li 0.5000 0.5000 0.0000  4 Sr 3.64
I 0.1345 0.6345 0.5000  6 Sr 3.46-3.56, 1 I 3.70
I 0.3655 0.1345 0.5000  6 Sr 3.46-3.56, 1 I 3.70
I 0.6345 0.8655 0.5000  6 Sr 3.46-3.56, 1 I 3.70
I 0.8655 0.3655 0.5000  6 Sr 3.46-3.56, 1 I 3.70

Values from the calculation:
The distance to the lowest polymorph of the same formula comes out at 104 meV per atom.



# 2
SrLiTlI4 | PBE-GGA | optimized geometry

Unit cell a=7.8127 b=8.1414 c=9.5363 alpha=90.00 beta=107.70 gamma=90.00
Closest atoms and distances in Å follow each position.
Fractional positions:
Sr 0.2186 0.2500 0.0552  6 I 3.29-3.40
Sr 0.7814 0.7500 0.9448  6 I 3.29-3.40
Li 0.2397 0.7500 0.8133  4 I 2.71-2.75
Li 0.7603 0.2500 0.1867  4 I 2.71-2.75
Tl 0.2444 0.2500 0.5564  6 I 3.41-3.81
Tl 0.7556 0.7500 0.4436  6 I 3.41-3.81
I 0.0049 0.5030 0.2283  1 Li 2.75
I 0.0049 0.9970 0.2283  1 Li 2.75
I 0.4490 0.7500 0.6329  1 Li 2.71
I 0.4561 0.7500 0.0980  1 Li 2.73
I 0.5439 0.2500 0.9020  1 Li 2.73
I 0.5510 0.2500 0.3671  1 Li 2.71
I 0.9951 0.0030 0.7717  1 Li 2.75
I 0.9951 0.4970 0.7717  1 Li 2.75



# 3
SrLiTl2I5 | PBE-GGA | optimized geometry

Unit cell a=10.5491 b=10.5491 c=15.3909 alpha=90.00 beta=90.00 gamma=153.96
Closest atoms and distances in Å follow each position.
Fractional positions:
Sr 0.2043 0.7957 0.5000  6 I 3.27-3.31
Sr 0.7957 0.2043 0.0000  6 I 3.27-3.31
Li 0.4439 0.5561 0.8955  4 I 2.73-2.84
Li 0.5561 0.4439 0.3955  4 I 2.73-2.84
Tl 0.0934 0.9066 0.1338  6 I 3.53-3.93
Tl 0.1247 0.8753 0.7980  7 I 3.53-3.89
Tl 0.8753 0.1247 0.2980  7 I 3.53-3.89
Tl 0.9066 0.0934 0.6338  6 I 3.53-3.93
I 0.0434 0.9566 0.4914  2 Li 2.81
I 0.2842 0.7158 0.1471  2 Sr 3.29
I 0.3094 0.6906 0.8522  1 Li 2.84
I 0.3621 0.6379 0.4722  1 Sr 3.27, 4 Tl 3.56-3.59
I 0.4940 0.5060 0.2388  1 Li 2.73
I 0.5060 0.4940 0.7388  1 Li 2.73
I 0.6379 0.3621 0.9722  1 Sr 3.27, 4 Tl 3.56-3.59
I 0.6906 0.3094 0.3522  1 Li 2.84
I 0.7158 0.2842 0.6471  2 Sr 3.29
I 0.9566 0.0434 0.9914  2 Li 2.81



# 4
SrLiTmI6 | PBE-GGA | optimized geometry

Unit cell a=7.7020 b=7.7020 c=14.3840 alpha=90.00 beta=90.00 gamma=120.00
Closest atoms and distances in Å follow each position.
Fractional positions:
Sr 0.0000 0.0000 0.0000  6 I 3.33
Sr 0.0000 0.0000 0.5000  6 I 3.33
Li 0.3333 0.6667 0.2500  6 I 3.02
Li 0.6667 0.3333 0.7500  6 I 3.02
Tm 0.3333 0.6667 0.7500  6 I 3.01
Tm 0.6667 0.3333 0.2500  6 I 3.01
I 0.0010 0.3565 0.6314  1 Tm 3.01, 1 Li 3.02, 1 Sr 3.33
I 0.0010 0.6445 0.8686  1 Tm 3.01, 1 Li 3.02, 1 Sr 3.33
I 0.3565 0.0010 0.1314  1 Tm 3.01, 1 Li 3.02, 1 Sr 3.33
I 0.3565 0.3555 0.3686  1 Tm 3.01, 1 Li 3.02, 1 Sr 3.33
I 0.3555 0.3565 0.8686  1 Tm 3.01, 1 Li 3.02, 1 Sr 3.33
I 0.3555 0.9990 0.6314  1 Tm 3.01, 1 Li 3.02, 1 Sr 3.33
I 0.6445 0.0010 0.3686  1 Tm 3.01, 1 Li 3.02, 1 Sr 3.33
I 0.6445 0.6435 0.1314  1 Tm 3.01, 1 Li 3.02, 1 Sr 3.33
I 0.6435 0.6445 0.6314  1 Tm 3.01, 1 Li 3.02, 1 Sr 3.33
I 0.6435 0.9990 0.8686  1 Tm 3.01, 1 Li 3.02, 1 Sr 3.33
I 0.9990 0.3555 0.1314  1 Tm 3.01, 1 Li 3.02, 1 Sr 3.33
I 0.9990 0.6435 0.3686  1 Tm 3.01, 1 Li 3.02, 1 Sr 3.33



# 5
LiTaI3 | PBE-GGA | optimized geometry

Unit cell a=5.2928 b=5.2928 c=5.2928 alpha=90.00 beta=90.00 gamma=90.00
Closest atoms and distances in Å follow each position.
Fractional positions:
Li 0.0000 0.0000 0.0000  6 I 2.65
Ta 0.5000 0.5000 0.5000  12 I 3.74
I 0.0000 0.0000 0.5000  2 Li 2.65
I 0.0000 0.5000 0.0000  2 Li 2.65
I 0.5000 0.0000 0.0000  2 Li 2.65



# 6
LiTaI6 | PBE-GGA | optimized geometry

Unit cell a=7.6779 b=7.6779 c=7.4129 alpha=101.43 beta=101.43 gamma=122.21
Closest atoms and distances in Å follow each position.
Fractional positions:
Li 0.0000 0.0000 0.0000  4 I 2.87
Ta 0.5000 0.5000 0.5000  6 I 2.74-2.79
I 0.1093 0.4051 0.2569  1 Ta 2.79, 1 Li 2.87
I 0.2798 0.2798 0.7196  1 Ta 2.74
I 0.4051 0.1093 0.2569  1 Ta 2.79, 1 Li 2.87
I 0.5949 0.8907 0.7431  1 Ta 2.79, 1 Li 2.87
I 0.7202 0.7202 0.2804  1 Ta 2.74
I 0.8907 0.5949 0.7431  1 Ta 2.79, 1 Li 2.87

Values from the calculation:
The distance to the lowest polymorph of the same formula comes out at 0 meV per atom.



| no. | raw formation energy (kJ/mol of formula units) | magnetization (μB per formula unit) |
| --- | --- | --- |
| 1 | -326 | 0.0 |
| 2 | -832 | 0.0 |
| 3 | -978 | 0.0 |
| 4 | -1227 | 0.0 |
| 5 | 300 | 3.0 |
| 6 | -449 | 0.0 |